This record from Alexandria describes a relaxed BiSbP crystal. The functional is PBE.

abc: 5.208 5.827 6.276
angles: 90.00 90.00 90.00
Atoms (fractional coordinates):
Bi  0.000  0.066  0.000
Bi  0.000  0.934  0.500
Sb  0.500  0.269  0.542
Sb  0.500  0.731  0.042
P  0.500  0.303  0.953
P  0.500  0.697  0.453

Computed properties:
space group: No. 26
energy relative to the elements, uncorrected: 0.201 eV/atom
relative energy among the computed polymorphs: 0.341 eV per formula unit
crystal system: orthorhombic

---

This record from Alexandria describes a relaxed BiSbP crystal. The functional is PBE.

abc: 4.587 6.364 7.015
angles: 84.46 71.01 71.58
Atoms (fractional coordinates):
Bi  0.000  0.000  0.000
Bi  0.311  0.499  0.373
Sb  0.281  0.002  0.433
Sb  0.966  0.497  0.065
P  0.579  0.851  0.701
P  0.716  0.152  0.704

Computed properties:
space group: No. 1
energy relative to the elements, uncorrected: 0.137 eV/atom
relative energy among the computed polymorphs: 0.147 eV per formula unit
crystal system: triclinic

---

This record from Alexandria describes a relaxed Sm4BiSb2P crystal. The functional is PBE.

abc: 7.623 4.389 7.657
angles: 90.00 109.28 90.00
Atoms (fractional coordinates):
Sm  0.236  0.000  0.232
Sm  0.245  0.500  0.763
Sm  0.755  0.500  0.237
Sm  0.764  0.000  0.768
Bi  0.000  0.000  0.500
Sb  0.500  0.000  0.000
Sb  0.500  0.500  0.500
P  0.000  0.500  0.000

Computed properties:
space group: No. 10
energy relative to the elements, uncorrected: -1.162 eV/atom
crystal system: monoclinic

---

This record from Alexandria describes a relaxed Sm6BiSb3P2 crystal. The functional is PBE.

abc: 9.751 9.751 8.771
angles: 102.94 102.94 25.75
Atoms (fractional coordinates):
Sm  0.010  0.010  0.260
Sm  0.327  0.327  0.429
Sm  0.328  0.328  0.897
Sm  0.672  0.672  0.103
Sm  0.673  0.673  0.571
Sm  0.990  0.990  0.740
Bi  0.500  0.500  0.000
Sb  0.162  0.162  0.831
Sb  0.500  0.500  0.500
Sb  0.838  0.838  0.169
P  0.169  0.169  0.337
P  0.831  0.831  0.663

Computed properties:
space group: No. 12
energy relative to the elements, uncorrected: -1.224 eV/atom
crystal system: monoclinic

---

This record from Alexandria describes a relaxed Sm4Bi2SbP crystal. The functional is PBE.

abc: 7.658 4.393 7.702
angles: 90.00 109.11 90.00
Atoms (fractional coordinates):
Sm  0.231  0.000  0.228
Sm  0.243  0.500  0.765
Sm  0.757  0.500  0.235
Sm  0.769  0.000  0.772
Bi  0.000  0.000  0.500
Bi  0.500  0.500  0.500
Sb  0.500  0.000  0.000
P  0.000  0.500  0.000

Computed properties:
space group: No. 10
energy relative to the elements, uncorrected: -1.107 eV/atom
crystal system: monoclinic

---

This record from Alexandria describes a relaxed Sr6Bi2SbP crystal. The functional is PBE.

abc: 8.082 8.653 14.062
angles: 90.00 124.70 90.00
Atoms (fractional coordinates):
Sr  0.110  0.059  0.240
Sr  0.110  0.441  0.740
Sr  0.244  0.701  0.067
Sr  0.244  0.799  0.567
Sr  0.364  0.181  0.061
Sr  0.364  0.319  0.561
Sr  0.636  0.681  0.439
Sr  0.636  0.819  0.939
Sr  0.756  0.201  0.433
Sr  0.756  0.299  0.933
Sr  0.890  0.559  0.260
Sr  0.890  0.941  0.760
Bi  0.277  0.078  0.752
Bi  0.277  0.422  0.252
Bi  0.723  0.578  0.748
Bi  0.723  0.922  0.248
Sb  0.500  0.000  0.500
Sb  0.500  0.500  0.000
P  0.000  0.000  0.000
P  0.000  0.500  0.500

Computed properties:
space group: No. 14
energy relative to the elements, uncorrected: -0.958 eV/atom
crystal system: monoclinic

---

This record from Alexandria describes a relaxed BiSbTe2P crystal. The functional is PBE.

abc: 5.938 5.938 5.956
angles: 90.00 90.00 90.00
Atoms (fractional coordinates):
Bi  0.000  0.000  0.000
Sb  0.000  0.000  0.500
Te  0.000  0.500  0.000
Te  0.500  0.000  0.000
P  0.500  0.500  0.500

Computed properties:
space group: No. 123
energy relative to the elements, uncorrected: 1.215 eV/atom
relative energy among the computed polymorphs: 4.078 eV per formula unit
crystal system: tetragonal

---

This record from Alexandria describes a relaxed BiSbTeP2 crystal. The functional is PBE.

abc: 5.199 5.199 5.893
angles: 90.00 90.00 90.00
Atoms (fractional coordinates):
Bi  0.000  0.000  0.000
Sb  0.500  0.500  0.500
Te  0.000  0.000  0.500
P  0.000  0.500  0.000
P  0.500  0.000  0.000

Computed properties:
space group: No. 123
energy relative to the elements, uncorrected: 1.133 eV/atom
crystal system: tetragonal

---

This record from Alexandria describes a relaxed BiSbTe2P crystal. The functional is PBE.

abc: 5.295 5.295 5.210
angles: 90.00 90.00 90.00
Atoms (fractional coordinates):
Bi  0.000  0.000  0.000
Sb  0.500  0.500  0.000
Te  0.000  0.500  0.500
Te  0.500  0.000  0.500
P  0.500  0.500  0.500

Computed properties:
space group: No. 123
energy relative to the elements, uncorrected: 0.400 eV/atom
relative energy among the computed polymorphs: 0.000 eV per formula unit
crystal system: tetragonal

---

This record from Alexandria describes a relaxed Th6BiSb2P3 crystal. The functional is PBE.

abc: 9.770 9.770 8.779
angles: 104.87 104.87 25.33
Atoms (fractional coordinates):
Th  0.008  0.008  0.226
Th  0.324  0.324  0.437
Th  0.341  0.341  0.898
Th  0.659  0.659  0.102
Th  0.676  0.676  0.563
Th  0.992  0.992  0.774
Bi  0.500  0.500  0.500
Sb  0.166  0.166  0.832
Sb  0.834  0.834  0.168
P  0.166  0.166  0.332
P  0.500  0.500  0.000
P  0.834  0.834  0.668

Computed properties:
space group: No. 12
energy relative to the elements, uncorrected: -1.186 eV/atom
crystal system: monoclinic

---

This record from Alexandria describes a relaxed Th4BiSb2P crystal. The functional is PBE.

abc: 7.697 4.395 7.765
angles: 90.00 109.04 90.00
Atoms (fractional coordinates):
Th  0.225  0.000  0.220
Th  0.239  0.500  0.773
Th  0.761  0.500  0.227
Th  0.775  0.000  0.780
Bi  0.000  0.000  0.500
Sb  0.500  0.000  0.000
Sb  0.500  0.500  0.500
P  0.000  0.500  0.000

Computed properties:
space group: No. 10
energy relative to the elements, uncorrected: -0.948 eV/atom
crystal system: monoclinic

---

This record from Alexandria describes a relaxed YBiSbP2 crystal. The functional is PBE.

abc: 5.189 5.189 5.668
angles: 90.00 90.00 90.00
Atoms (fractional coordinates):
Y  0.000  0.000  0.000
Bi  0.500  0.500  0.500
Sb  0.500  0.500  0.000
P  0.000  0.500  0.500
P  0.500  0.000  0.500

Computed properties:
space group: No. 123
energy relative to the elements, uncorrected: 0.669 eV/atom
crystal system: tetragonal

---

Number 1: M_tot 0.0 μB/f.u., mass density 6.3 g/cm³, VASP energy -25.62 eV per cell. Number 2: M_tot 0.0 μB/f.u., mass density 6.5 g/cm³, VASP energy -26.01 eV per cell. Number 3: M_tot 0.0 μB/f.u., mass density 7.5 g/cm³, VASP energy -45.71 eV per cell. Number 4: M_tot 0.0 μB/f.u., mass density 7.2 g/cm³, VASP energy -70.07 eV per cell. Number 5: M_tot 0.0 μB/f.u., mass density 7.9 g/cm³, VASP energy -45.03 eV per cell. Number 6: M_tot 0.0 μB/f.u., mass density 4.5 g/cm³, VASP energy -73.93 eV per cell. Number 7: M_tot 0.8 μB/f.u., mass density 4.9 g/cm³, VASP energy -13.62 eV per cell. Number 8: M_tot 0.0 μB/f.u., mass density 5.4 g/cm³, VASP energy -16.30 eV per cell. Number 9: M_tot 0.0 μB/f.u., mass density 7.0 g/cm³, VASP energy -17.70 eV per cell. Number 10: M_tot 0.0 μB/f.u., mass density 9.3 g/cm³, VASP energy -87.11 eV per cell. Number 11: M_tot 0.0 μB/f.u., mass density 9.4 g/cm³, VASP energy -54.80 eV per cell. Number 12: M_tot 0.0 μB/f.u., mass density 5.2 g/cm³, VASP energy -21.94 eV per cell.